Below is a geometry-optimized Sr3CaHg7 structure, with properties calculated at the GGA-PBE level.

Output
Spin magnetization ... 0.00 Bohr magnetons per cell
DOS(E_F) ... 5.62 states/eV/f.u.
Uncorrected energy ... -1.260 eV/atom

abc: 11.028 11.028 14.906
angles: 90.00 90.00 157.90
Fractional coordinates of all 22 atoms:
Sr (0.097, 0.903, 0.558)
Sr (0.097, 0.903, 0.942)
Sr (0.265, 0.735, 0.250)
Sr (0.735, 0.265, 0.750)
Sr (0.903, 0.097, 0.058)
Sr (0.903, 0.097, 0.442)
Ca (0.066, 0.934, 0.250)
Ca (0.934, 0.066, 0.750)
Hg (0.287, 0.713, 0.042)
Hg (0.287, 0.713, 0.458)
Hg (0.339, 0.661, 0.644)
Hg (0.339, 0.661, 0.856)
Hg (0.425, 0.575, 0.250)
Hg (0.476, 0.524, 0.597)
Hg (0.476, 0.524, 0.903)
Hg (0.524, 0.476, 0.097)
Hg (0.524, 0.476, 0.403)
Hg (0.575, 0.425, 0.750)
Hg (0.661, 0.339, 0.144)
Hg (0.661, 0.339, 0.356)
Hg (0.713, 0.287, 0.542)
Hg (0.713, 0.287, 0.958)